# 1
A plane-wave DFT calculation with SCAN was carried out for a crystal of BaTlBBr2 relaxed with PBEsol.

Cell and atoms, written as POSCAR:
```
BaTlBBr2
1.0
6.034 0.000 0.000
0.000 6.034 0.000
0.000 0.000 7.385
Tl B Ba Br
1 1 1 2
Cartesian
0.000 0.000 3.693
3.017 3.017 3.693
0.000 0.000 0.000
0.000 3.017 0.000
3.017 0.000 0.000
```

Properties
D(E_F)   3.16 states/eV/cell
Total DFT energy (no corrections)   -157.04 eV/cell
Total magnetic moment   0.4016 μB per atom
Raw formation energy   0.243 eV/atom
SG   No. 123


# 2
A plane-wave DFT calculation with SCAN was carried out for a crystal of BaCa2CoB relaxed with PBEsol.

Cell and atoms, written as POSCAR:
```
BaCa2CoB
1.0
-1.190 -2.413 -3.123
4.593 0.917 -2.458
2.134 -4.189 2.424
Ca B Co Ba
2 1 1 1
Cartesian
1.067 -2.095 1.212
2.296 0.458 -1.229
-0.595 -1.206 -1.561
0.000 0.000 0.000
2.768 -2.843 -1.579
```

Properties
D(E_F)   2.82 states/eV/cell
Total DFT energy (no corrections)   -81.10 eV/cell
Total magnetic moment   0.0000 μB per atom
SG   No. 123
ΔH_f (0 K)   2.52 eV/f.u.


# 3
A plane-wave DFT calculation with SCAN was carried out for a crystal of BaCaBO3F relaxed with PBEsol.

Cell and atoms, written as POSCAR:
```
BaCaBO3F
1.0
-4.154 -1.117 0.933
2.776 -5.569 6.127
1.039 3.034 8.445
Ba Ca B O F
3 3 3 9 3
Cartesian
0.775 -1.532 13.293
1.070 -5.080 8.982
-0.464 -0.013 8.064
-1.963 -3.307 7.903
-0.641 -4.797 12.168
1.959 0.900 10.752
-2.859 -1.956 5.670
1.043 3.011 8.441
-1.598 -2.720 10.622
-3.243 -1.213 4.559
1.554 -2.202 4.629
-1.196 -5.383 7.406
-2.735 -1.331 6.907
-1.355 -3.985 10.094
-2.004 -1.694 9.776
0.509 2.113 9.353
2.721 -1.384 11.053
-2.769 1.479 8.099
0.148 -2.818 7.475
-1.306 1.266 5.618
-0.036 0.168 11.363
```

Properties
D(E_F)   0.00 states/eV/cell
Total DFT energy (no corrections)   -306.85 eV/cell
Total magnetic moment   0.0000 μB per atom
Raw formation energy   -3.344 eV/atom
SG   No. 1


# 4
A plane-wave DFT calculation with SCAN was carried out for a crystal of BaCaBH2 relaxed with PBEsol.

Cell and atoms, written as POSCAR:
```
BaCaBH2
1.0
4.189 0.000 0.000
0.000 4.189 0.000
0.000 0.000 11.320
H Ca B Ba
2 1 1 1
Cartesian
0.000 2.094 0.000
2.094 0.000 0.000
0.000 0.000 0.000
2.094 2.094 5.660
0.000 0.000 5.660
```

Properties
D(E_F)   1.21 states/eV/cell
Total DFT energy (no corrections)   -60.70 eV/cell
Total magnetic moment   0.5498 μB per atom
SG   No. 123


V (Å³/cell)
269; 115; 305; 199
Ρ (Mg/m³)
3.16; 4.14; 4.17; 1.59